(1)
A relaxed structure of Dy2InFe. Source: Alexandria, functional PBE-GGA.

a b c (Å): 3.346 3.346 8.106
angles (deg): 90.00 90.00 90.00
Element x y z (fractional)
Dy 0.000 0.000 0.199
Fe 0.500 0.500 0.000
Dy 0.000 0.000 0.801
In 0.500 0.500 0.500

Results
symmetry = P4/mmm (123)


(2)
A relaxed structure of Dy12InFe6. Source: Alexandria, functional PBE-GGA.

a b c (Å): 8.400 8.400 8.400
angles (deg): 109.47 109.47 109.47
Last column: magnetic moment on the atom in μB.
Element x y z (fractional)
In 0.000 0.000 0.000  0.04
Dy 0.298 0.493 0.195  -0.15
Fe 0.110 0.610 0.500  1.44
Dy 0.805 0.298 0.104  -0.15
Dy 0.298 0.104 0.805  -0.15
Dy 0.702 0.896 0.195  -0.15
Dy 0.896 0.195 0.702  -0.15
Dy 0.195 0.702 0.896  -0.15
Dy 0.104 0.805 0.298  -0.15
Fe 0.500 0.890 0.390  1.44
Fe 0.610 0.500 0.110  1.44
Fe 0.890 0.390 0.500  1.44
Dy 0.195 0.298 0.493  -0.15
Dy 0.507 0.805 0.702  -0.15
Fe 0.390 0.500 0.890  1.44
Dy 0.702 0.507 0.805  -0.15
Dy 0.805 0.702 0.507  -0.15
Dy 0.493 0.195 0.298  -0.15
Fe 0.500 0.110 0.610  1.44

Results
symmetry = Im-3 (204)


(3)
A relaxed structure of Dy4InFe. Source: Alexandria, functional PBE-GGA.

a b c (Å): 6.027 9.022 7.754
angles (deg): 115.69 99.61 112.41
Element x y z (fractional)
Dy 0.223 0.269 0.324
Dy 0.777 0.731 0.676
Dy 0.399 0.945 0.676
Fe 0.249 0.999 0.999
In 0.376 0.626 0.251
Dy 0.912 0.800 0.156
Fe 0.751 0.001 0.001
Dy 0.601 0.055 0.324
Dy 0.745 0.356 0.156
In 0.624 0.374 0.749
Dy 0.088 0.200 0.844
Dy 0.255 0.644 0.844

Results
symmetry = C2/c (15)


(4)
A relaxed structure of Dy6InFe2. Source: Alexandria, functional PBE-GGA.

a b c (Å): 8.419 8.419 8.419
angles (deg): 106.91 111.60 109.94
Last column: magnetic moment on the atom in μB.
Element x y z (fractional)
Dy 0.214 0.985 0.771  -0.09
Dy 0.479 0.189 0.290  -0.15
Dy 0.297 0.689 0.986  -0.15
Dy 0.786 0.557 0.771  -0.09
Dy 0.214 0.443 0.229  -0.09
Fe 0.500 0.892 0.392  1.17
Dy 0.703 0.689 0.391  -0.15
Dy 0.101 0.811 0.290  -0.15
Dy 0.703 0.311 0.014  -0.15
Fe 0.614 0.614 0.000  1.52
In 0.000 0.500 0.500  0.02
Fe 0.500 0.108 0.608  1.17
Dy 0.297 0.311 0.609  -0.15
Dy 0.899 0.189 0.710  -0.15
In 0.000 0.000 0.000  -0.01
Dy 0.786 0.015 0.229  -0.09
Fe 0.386 0.386 0.000  1.52
Dy 0.521 0.811 0.710  -0.15

Results
symmetry = Immm (71)


(5)
A relaxed structure of Dy2InFe. Source: Alexandria, functional PBE-GGA.

a b c (Å): 3.540 3.540 10.274
angles (deg): 80.08 80.08 60.00
Last column: magnetic moment on the atom in μB.
Element x y z (fractional)
Dy 0.108 0.108 0.675  -0.21
In 0.000 0.000 0.000  0.01
Dy 0.892 0.892 0.325  -0.21
Fe 0.500 0.500 0.500  1.41

Results
symmetry = R-3m (166)


(6)
A relaxed structure of Dy3InFe. Source: Alexandria, functional PBE-GGA.

a b c (Å): 5.122 5.122 5.122
angles (deg): 90.00 90.00 90.00
Element x y z (fractional)
In 0.500 0.500 0.500
Dy 0.500 0.000 0.000
Dy 0.000 0.500 0.000
Fe 0.000 0.000 0.000
Dy 0.000 0.000 0.500

Results
symmetry = Pm-3m (221)


Computed density of states at the Fermi level, in the same sequence as the records: 0.6102, 0.9435, 1.0659, 0.9744, 0.8144, 1.0353 states/eV per atom.
Computed M_tot, in the same sequence as the records: 0.001, 0.349, 0.000, 0.199, 0.243, 0.000 μB/atom.
Computed calculated formation energy, in the same sequence as the records: -0.66, -1.55, -1.10, -1.43, 0.90, -0.26 eV per formula unit.